Here is CaRhI after structural relaxation from Alexandria via LeMat-Bulk. Energies are from PBE.

space group	P4/nmm, No. 129
formation energy from raw total energies	-0.173	eV/atom
DOS(E_F)	4.28	states/eV per cell

The structure in POSCAR format:
```
CaRhI
1.0
-5.222 0.223 -0.170
-0.123 -4.667 -2.355
-0.280 -2.607 5.182
Ca I Rh
2 2 2
Direct
0.500 0.000 0.140 Ca
0.000 0.500 0.860 Ca
0.000 0.000 0.500 I
0.500 0.500 0.500 I
0.000 0.500 0.334 Rh
0.500 0.000 0.666 Rh
```

=====

Here is CaRhI after structural relaxation from Alexandria via LeMat-Bulk. Energies are from PBE.

space group	P1, No. 1
formation energy from raw total energies	-0.571	eV/atom
DOS(E_F)	0.28	states/eV per cell

The structure in POSCAR format:
```
CaRhI
1.0
-3.611 -3.435 0.963
7.506 -4.425 1.822
1.030 3.036 3.387
I Rh Ca
2 2 2
Direct
0.687 0.933 0.934 I
0.250 0.321 0.729 I
0.119 0.457 0.160 Rh
0.479 0.624 0.837 Rh
0.246 0.772 0.217 Ca
0.752 0.506 0.476 Ca
```

=====

Here is CaRhI after structural relaxation from Alexandria via LeMat-Bulk. Energies are from PBE.

space group	P1, No. 1
formation energy from raw total energies	-0.554	eV/atom
DOS(E_F)	0.00	states/eV per cell

The structure in POSCAR format:
```
CaRhI
1.0
-2.916 -3.383 -1.528
3.074 -1.863 -1.740
-0.040 -6.235 6.599
I Rh Ca
2 2 2
Direct
0.833 0.087 0.476 I
0.160 0.587 0.819 I
0.946 0.586 0.249 Rh
0.049 0.086 0.042 Rh
0.448 0.085 0.246 Ca
0.646 0.087 0.846 Ca
```

=====

Here is CaRhI2 after structural relaxation from Alexandria via LeMat-Bulk. Energies are from PBE.

space group	Fm-3m, No. 225
relative energy among the computed polymorphs	10.38	kJ per mole of atoms
formation energy from raw total energies	-0.298	eV/atom
DOS(E_F)	5.48	states/eV per cell

The structure in POSCAR format:
```
CaRhI2
1.0
0.000 3.748 3.748
3.748 0.000 3.748
3.748 3.748 0.000
I Ca Rh
2 1 1
Direct
0.250 0.250 0.250 I
0.750 0.750 0.750 I
0.000 0.000 0.000 Ca
0.500 0.500 0.500 Rh
```

=====

Here is CaRh3I after structural relaxation from Alexandria via LeMat-Bulk. Energies are from PBE.

space group	Pm-3m, No. 221
relative energy among the computed polymorphs	93.53	kJ per mole of atoms
formation energy from raw total energies	1.400	eV/atom
DOS(E_F)	7.09	states/eV per cell

The structure in POSCAR format:
```
CaRh3I
1.0
-2.748 2.100 -3.472
3.055 -1.689 -3.440
-2.671 -4.094 -0.363
Rh Ca I
3 1 1
Direct
0.000 0.500 0.000 Rh
0.500 0.000 0.000 Rh
0.000 0.000 0.500 Rh
0.000 0.000 0.000 Ca
0.500 0.500 0.500 I
```

=====

Here is CaRhI after structural relaxation from Alexandria via LeMat-Bulk. Energies are from PBE.

space group	P2_1/m, No. 11
formation energy from raw total energies	-0.572	eV/atom
DOS(E_F)	0.07	states/eV per cell

The structure in POSCAR format:
```
CaRhI
1.0
5.877 0.000 0.000
0.000 4.084 0.000
-5.548 -0.005 6.681
Ca I Rh
2 2 2
Direct
0.754 0.896 0.298 Ca
0.048 0.395 0.927 Ca
0.319 0.895 0.792 I
0.483 0.396 0.433 I
0.116 0.896 0.208 Rh
0.685 0.395 0.018 Rh
```

=====

Here is Ca3RhI after structural relaxation from Alexandria via LeMat-Bulk. Energies are from PBE.

space group	Pm-3m, No. 221
relative energy among the computed polymorphs	0.00	kJ per mole of atoms
formation energy from raw total energies	-0.493	eV/atom
DOS(E_F)	2.82	states/eV per cell

The structure in POSCAR format:
```
Ca3RhI
1.0
-2.376 -2.462 -4.380
4.090 -3.761 -0.105
-2.917 -3.268 3.419
Ca Rh I
3 1 1
Direct
0.000 0.500 0.000 Ca
0.500 0.000 0.000 Ca
0.000 0.000 0.500 Ca
0.000 0.000 0.000 Rh
0.500 0.500 0.500 I
```

=====

Here is CaRhI2 after structural relaxation from Alexandria via LeMat-Bulk. Energies are from PBE.

space group	R-3m, No. 166
relative energy among the computed polymorphs	27.51	kJ per mole of atoms
formation energy from raw total energies	-0.121	eV/atom
DOS(E_F)	3.05	states/eV per cell

The structure in POSCAR format:
```
CaRhI2
1.0
-1.700 2.372 -2.981
-3.649 -1.088 -1.703
-6.177 5.243 4.775
I Rh Ca
2 1 1
Direct
0.887 0.887 0.338 I
0.113 0.113 0.662 I
0.500 0.500 0.500 Rh
0.000 0.000 0.000 Ca
```

=====

Computed E, in the same sequence as the records: -3.81, -4.21, -4.19, -3.41, -3.72, -4.21, -3.47, -3.23 eV/atom.